Below is crystalline KScTe2 at its relaxed geometry, with properties calculated at the PBE-GGA level.

a = 6.367 Å, b = 6.367 Å, c = 6.367 Å
α = 141.19°, β = 105.56°, γ = 87.28°
Fractional positions:
Te1 0.043 0.043 0.000
Te2 0.457 0.457 0.000
Sc1 0.250 0.750 0.500
K1 0.750 0.250 0.500

Calculated values
- ΔE_f (raw): -0.879 eV/atom
- Space group: Immm, No. 71
- E_tot: -4.308 eV per atom